# 1
A relaxed structure of AcLaTlRu, computed with PBE.

The structure in POSCAR format:
```
AcLaTlRu
1.0
0.000 3.843 3.843
3.843 0.000 3.843
3.843 3.843 0.000
Ac La Tl Ru
1 1 1 1
direct
0.000 0.000 0.000
0.500 0.500 0.500
0.750 0.750 0.750
0.250 0.250 0.250
```

Summary:
* energy of formation: -8 kJ per mole of atoms
* symmetry: F-43m (216)
* energy: -5.252 eV/atom
* ρ: 9.823 g/cm3


# 2
A relaxed structure of Ac2La2Tl2Ru, computed with PBE.

The structure in POSCAR format:
```
Ac2La2Tl2Ru
1.0
8.764 -2.081 0.000
8.764 2.081 0.000
-3.089 0.000 6.694
Ac La Tl Ru
2 2 2 1
direct
0.190 0.190 0.189
0.810 0.810 0.811
0.500 0.500 0.257
0.500 0.500 0.743
0.139 0.139 0.638
0.861 0.861 0.362
0.000 0.000 0.000
```

Summary:
* energy of formation: -27 kJ per mole of atoms
* symmetry: C2/m (12)
* energy: -4.866 eV/atom
* ρ: 8.444 g/cm3


# 3
A relaxed structure of Ac3LaS4, computed with PBE.

The structure in POSCAR format:
```
Ac3LaS4
1.0
6.044 0.000 0.000
0.000 6.044 0.000
0.000 0.000 6.044
Ac La S
3 1 4
direct
0.000 0.000 0.500
0.000 0.500 0.000
0.500 0.000 0.000
0.500 0.500 0.500
0.000 0.000 0.000
0.000 0.500 0.500
0.500 0.000 0.500
0.500 0.500 0.000
```

Summary:
* symmetry: Pm-3m (221)
* energy: -6.253 eV/atom
* ρ: 7.131 g/cm3
* formation energy (no corrections): -2033 meV/atom


# 4
A relaxed structure of AcLa4S4, computed with PBE.

The structure in POSCAR format:
```
AcLa4S4
1.0
6.615 -2.929 0.000
6.615 2.929 0.000
-6.606 0.000 6.620
Ac La S
1 4 4
direct
0.000 0.000 0.000
0.194 0.194 0.799
0.395 0.395 0.589
0.605 0.605 0.411
0.806 0.806 0.201
0.102 0.102 0.408
0.306 0.306 0.204
0.694 0.694 0.796
0.898 0.898 0.592
```

Summary:
* symmetry: C2/m (12)
* energy: -6.343 eV/atom
* ρ: 5.896 g/cm3
* formation energy (no corrections): -1862 meV/atom


# 5
A relaxed structure of AcLa4S5, computed with PBE.

The structure in POSCAR format:
```
AcLa4S5
1.0
-2.093 2.965 10.470
2.093 -2.965 10.470
2.093 2.965 -10.470
Ac La S
1 4 5
direct
0.000 0.000 0.000
0.202 0.202 0.000
0.399 0.399 0.000
0.601 0.601 0.000
0.798 0.798 0.000
0.103 0.603 0.500
0.300 0.800 0.500
0.500 0.000 0.500
0.700 0.200 0.500
0.897 0.397 0.500
```

Summary:
* symmetry: Immm (71)
* energy: -6.574 eV/atom
* ρ: 6.023 g/cm3
* formation energy (no corrections): -2129 meV/atom


# 6
A relaxed structure of Ac3La4S8, computed with PBE.

The structure in POSCAR format:
```
Ac3La4S8
1.0
5.971 -5.979 0.000
5.971 5.979 0.000
-5.920 0.000 5.985
Ac La S
3 4 8
direct
0.000 0.000 0.000
0.000 0.500 0.500
0.500 0.000 0.500
0.000 0.500 0.000
0.500 0.000 0.000
0.500 0.500 0.000
0.500 0.500 0.500
0.253 0.747 0.000
0.255 0.745 0.500
0.258 0.258 0.010
0.259 0.259 0.507
0.741 0.741 0.493
0.742 0.742 0.990
0.745 0.255 0.500
0.747 0.253 0.000
```

Summary:
* symmetry: C2/m (12)
* energy: -6.432 eV/atom
* ρ: 5.802 g/cm3
* formation energy (no corrections): -2095 meV/atom


# 7
A relaxed structure of Ac3La2S8, computed with PBE.

The structure in POSCAR format:
```
Ac3La2S8
1.0
5.202 -7.190 0.000
5.202 7.190 0.000
0.000 0.000 4.861
Ac La S
3 2 8
direct
0.000 0.000 0.000
0.288 0.288 0.500
0.712 0.712 0.500
0.266 0.734 0.000
0.734 0.266 0.000
0.110 0.364 0.000
0.123 0.877 0.500
0.364 0.110 0.000
0.369 0.631 0.500
0.631 0.369 0.500
0.636 0.890 0.000
0.877 0.123 0.500
0.890 0.636 0.000
```

Summary:
* symmetry: Cmmm (65)
* energy: -6.151 eV/atom
* ρ: 5.550 g/cm3
* formation energy (no corrections): -1904 meV/atom


# 8
A relaxed structure of Ac3La2S8, computed with PBE.

The structure in POSCAR format:
```
Ac3La2S8
1.0
7.332 -4.313 0.000
7.332 4.313 0.000
-2.679 0.000 6.758
Ac La S
3 2 8
direct
0.000 0.000 0.000
0.265 0.735 0.500
0.735 0.265 0.500
0.269 0.269 0.853
0.731 0.731 0.147
0.096 0.643 0.083
0.119 0.119 0.446
0.357 0.904 0.917
0.382 0.382 0.609
0.618 0.618 0.391
0.643 0.096 0.083
0.881 0.881 0.554
0.904 0.357 0.917
```

Summary:
* symmetry: C2/m (12)
* energy: -6.150 eV/atom
* ρ: 4.722 g/cm3
* formation energy (no corrections): -1904 meV/atom


# 9
A relaxed structure of AcLaS2, computed with PBE.

The structure in POSCAR format:
```
AcLaS2
1.0
2.070 1.195 7.345
-2.070 1.195 7.345
0.000 -2.390 7.345
Ac La S
1 1 2
direct
0.000 0.000 0.000
0.177 0.177 0.177
0.424 0.424 0.424
0.586 0.586 0.586
```

Summary:
* symmetry: R3m (160)
* energy: -6.311 eV/atom
* ρ: 6.553 g/cm3
* formation energy (no corrections): -1988 meV/atom


# 10
A relaxed structure of AcLaS2, computed with PBE.

The structure in POSCAR format:
```
AcLaS2
1.0
3.663 -2.122 0.000
3.663 2.122 0.000
-2.458 0.000 6.898
Ac La S
1 1 2
direct
0.000 0.000 0.000
0.500 0.500 0.500
0.247 0.247 0.740
0.753 0.753 0.260
```

Summary:
* symmetry: C2/m (12)
* energy: -6.410 eV/atom
* ρ: 6.661 g/cm3
* formation energy (no corrections): -2088 meV/atom


# 11
A relaxed structure of Ac5La3S8, computed with PBE.

The structure in POSCAR format:
```
Ac5La3S8
1.0
4.251 2.454 6.948
-4.251 2.454 6.948
0.000 -4.909 6.948
Ac La S
5 3 8
direct
0.000 0.000 0.000
0.000 0.500 0.500
0.500 0.000 0.500
0.500 0.500 0.000
0.500 0.500 0.500
0.000 0.000 0.500
0.000 0.500 0.000
0.500 0.000 0.000
0.243 0.750 0.750
0.247 0.247 0.247
0.250 0.250 0.757
0.250 0.757 0.250
0.750 0.243 0.750
0.750 0.750 0.243
0.753 0.753 0.753
0.757 0.250 0.250
```

Summary:
* symmetry: R-3m (166)
* energy: -6.336 eV/atom
* ρ: 6.904 g/cm3
* formation energy (no corrections): -2064 meV/atom


# 12
A relaxed structure of AcLa3S4, computed with PBE.

The structure in POSCAR format:
```
AcLa3S4
1.0
4.210 -5.939 0.000
4.210 5.939 0.000
0.000 0.000 4.178
Ac La S
1 3 4
direct
0.000 0.000 0.000
0.000 0.500 0.500
0.500 0.000 0.500
0.500 0.500 0.000
0.253 0.747 0.000
0.257 0.257 0.500
0.743 0.743 0.500
0.747 0.253 0.000
```

Summary:
* symmetry: Cmmm (65)
* energy: -6.550 eV/atom
* ρ: 6.135 g/cm3
* formation energy (no corrections): -2125 meV/atom


# 13
A relaxed structure of AcLaS4, computed with PBE.

The structure in POSCAR format:
```
AcLaS4
1.0
4.089 -2.594 0.000
4.089 2.594 0.000
-1.110 0.000 7.697
Ac La S
1 1 4
direct
0.000 0.000 0.000
0.596 0.596 0.532
0.208 0.208 0.364
0.384 0.384 0.184
0.639 0.639 0.905
0.953 0.953 0.608
```

Summary:
* symmetry: Cm (8)
* energy: -6.096 eV/atom
* ρ: 5.026 g/cm3
* formation energy (no corrections): -1838 meV/atom


# 14
A relaxed structure of AcLa6S8, computed with PBE.

The structure in POSCAR format:
```
AcLa6S8
1.0
0.000 5.897 5.897
5.897 0.000 5.897
5.897 5.897 0.000
Ac La S
1 6 8
direct
0.000 0.000 0.000
0.000 0.000 0.500
0.000 0.500 0.000
0.000 0.500 0.500
0.500 0.000 0.000
0.500 0.000 0.500
0.500 0.500 0.000
0.250 0.250 0.250
0.253 0.253 0.747
0.253 0.747 0.253
0.253 0.747 0.747
0.747 0.253 0.253
0.747 0.253 0.747
0.747 0.747 0.253
0.750 0.750 0.750
```

Summary:
* symmetry: Fm-3m (225)
* energy: -6.570 eV/atom
* ρ: 5.331 g/cm3
* formation energy (no corrections): -2124 meV/atom


# 15
A relaxed structure of AcLaS3, computed with PBE.

The structure in POSCAR format:
```
AcLaS3
1.0
4.247 0.000 0.000
0.000 7.020 0.000
0.000 0.000 9.123
Ac La S
2 2 6
direct
0.250 0.250 0.146
0.750 0.750 0.854
0.250 0.750 0.398
0.750 0.250 0.602
0.250 0.519 0.667
0.250 0.750 0.071
0.250 0.981 0.667
0.750 0.019 0.333
0.750 0.250 0.929
0.750 0.481 0.333
```

Summary:
* symmetry: Pmmn (59)
* energy: -6.443 eV/atom
* ρ: 5.642 g/cm3
* formation energy (no corrections): -2159 meV/atom


# 16
A relaxed structure of Ac4LaS6, computed with PBE.

The structure in POSCAR format:
```
Ac4LaS6
1.0
5.996 3.462 4.851
-5.996 3.462 4.851
0.000 -6.923 4.851
Ac La S
8 2 12
direct
0.127 0.750 0.373
0.250 0.250 0.250
0.250 0.627 0.873
0.373 0.127 0.750
0.627 0.873 0.250
0.750 0.373 0.127
0.750 0.750 0.750
0.873 0.250 0.627
0.000 0.000 0.000
0.500 0.500 0.500
0.062 0.912 0.684
0.088 0.316 0.938
0.184 0.412 0.562
0.316 0.938 0.088
0.412 0.562 0.184
0.438 0.816 0.588
0.562 0.184 0.412
0.588 0.438 0.816
0.684 0.062 0.912
0.816 0.588 0.438
0.912 0.684 0.062
0.938 0.088 0.316
```

Summary:
* symmetry: R-3c (167)
* energy: -6.147 eV/atom
* ρ: 6.813 g/cm3
* formation energy (no corrections): -1954 meV/atom


# 17
A relaxed structure of AcLaS3, computed with PBE.

The structure in POSCAR format:
```
AcLaS3
1.0
7.728 0.000 0.000
0.000 4.259 0.000
0.000 0.000 16.142
Ac La S
4 4 12
direct
0.148 0.250 0.202
0.352 0.750 0.702
0.648 0.250 0.298
0.852 0.750 0.798
0.233 0.750 0.456
0.267 0.250 0.956
0.733 0.750 0.044
0.767 0.250 0.544
0.014 0.250 0.393
0.130 0.750 0.062
0.146 0.250 0.783
0.354 0.750 0.283
0.370 0.250 0.562
0.486 0.750 0.893
0.514 0.250 0.107
0.630 0.750 0.438
0.646 0.250 0.717
0.854 0.750 0.217
0.870 0.250 0.938
0.986 0.750 0.607
```

Summary:
* symmetry: Pnma (62)
* energy: -6.483 eV/atom
* ρ: 5.777 g/cm3
* formation energy (no corrections): -2199 meV/atom


# 18
A relaxed structure of AcLaS2, computed with PBE.

The structure in POSCAR format:
```
AcLaS2
1.0
4.206 0.000 0.000
-2.103 3.642 0.000
0.000 0.000 14.096
Ac La S
2 2 4
direct
0.333 0.667 0.250
0.667 0.333 0.750
0.000 0.000 0.000
0.000 0.000 0.500
0.333 0.667 0.618
0.333 0.667 0.882
0.667 0.333 0.118
0.667 0.333 0.382
```

Summary:
* symmetry: P6_3/mmc (194)
* energy: -6.382 eV/atom
* ρ: 6.614 g/cm3
* formation energy (no corrections): -2059 meV/atom


# 19
A relaxed structure of Ac3LaS4, computed with PBE.

The structure in POSCAR format:
```
Ac3LaS4
1.0
7.417 0.000 0.000
0.000 8.489 0.000
-2.456 0.000 6.994
Ac La S
6 2 8
direct
0.000 0.124 0.250
0.000 0.374 0.750
0.000 0.626 0.250
0.000 0.876 0.750
0.500 0.374 0.250
0.500 0.626 0.750
0.500 0.124 0.750
0.500 0.876 0.250
0.254 0.372 0.503
0.254 0.628 0.003
0.256 0.122 0.000
0.256 0.878 0.500
0.744 0.122 0.500
0.744 0.878 0.000
0.746 0.372 0.997
0.746 0.628 0.497
```

Summary:
* symmetry: P2/c (13)
* energy: -6.269 eV/atom
* ρ: 7.150 g/cm3
* formation energy (no corrections): -2049 meV/atom


# 20
A relaxed structure of AcLa3S6, computed with PBE.

The structure in POSCAR format:
```
AcLa3S6
1.0
11.563 0.000 0.000
0.000 4.263 0.000
-3.579 0.000 11.362
Ac La S
2 6 12
direct
0.050 0.250 0.191
0.950 0.750 0.809
0.163 0.250 0.585
0.319 0.750 0.993
0.442 0.250 0.330
0.558 0.750 0.670
0.681 0.250 0.007
0.837 0.750 0.415
0.082 0.750 0.404
0.116 0.250 0.959
0.192 0.750 0.745
0.265 0.750 0.225
0.401 0.250 0.560
0.473 0.250 0.106
0.527 0.750 0.894
0.599 0.750 0.440
0.735 0.250 0.775
0.808 0.250 0.255
0.884 0.750 0.041
0.918 0.250 0.596
```

Summary:
* symmetry: P2_1/m (11)
* energy: -6.551 eV/atom
* ρ: 4.958 g/cm3
* formation energy (no corrections): -2185 meV/atom


# 21
A relaxed structure of Ac4LaS7, computed with PBE.

The structure in POSCAR format:
```
Ac4LaS7
1.0
7.078 -2.088 0.000
7.078 2.088 0.000
-3.309 0.000 11.877
Ac La S
4 1 7
direct
0.000 0.000 0.000
0.191 0.191 0.768
0.588 0.588 0.382
0.889 0.889 0.573
0.777 0.777 0.154
0.156 0.156 0.223
0.229 0.229 0.525
0.384 0.384 0.077
0.548 0.548 0.625
0.630 0.630 0.931
0.844 0.844 0.790
0.933 0.933 0.355
```

Summary:
* symmetry: Cm (8)
* energy: -6.332 eV/atom
* ρ: 6.015 g/cm3
* formation energy (no corrections): -2144 meV/atom